Entry 1:
## HgIrBr2 (GGA-PBE)

Data for a relaxed HgIrBr2 crystal.

Unit cell a=6.551 b=6.551 c=6.914 alpha=57.38 beta=57.38 gamma=32.31
Each line ends with the local moment (μB).
Atoms (fractional coordinates):
Br  0.907  0.907  0.090  0.07
Br  0.593  0.593  0.410  0.07
Hg  0.750  0.750  0.750  0.03
Ir  0.250  0.250  0.250  0.72

## Properties
Density   7.0 g cm⁻³
Crystal system   monoclinic
Energy relative to the lowest polymorph listed for this composition   0.1438 eV/atom
ΔE_f (raw)   223 meV per atom

---

Entry 2:
## LaSmMgRu (GGA-PBE)

Data for a relaxed LaSmMgRu crystal.

Unit cell a=5.198 b=5.198 c=5.198 alpha=60.00 beta=60.00 gamma=60.00
Atoms (fractional coordinates):
La  0.500  0.500  0.500
Sm  0.000  0.000  0.000
Ru  0.750  0.750  0.750
Mg  0.250  0.250  0.250

## Properties
Density   6.9 g cm⁻³
Crystal system   cubic
Formation enthalpy at 0 K   -0.30 eV per formula unit